The following is a DFT calculation (PBE-GGA) of a relaxed structure of LiY2MnC.

Results
- Energy relative to the lowest polymorph listed for this composition: 1477 meV/atom
- Energy of formation: 1.35 eV/atom
- Density: 3.91 g/cm3
- Total magnetization: 2.173 μB/cell

Lattice parameters (Å, degrees): 5.0060 4.2604 5.0060 90.00 90.00 90.00
Each line ends with the local moment (μB).
Sites, in units of the cell vectors:
1 Li 0.0000 0.5000 0.0000  0.01
2 Y 0.5000 0.0000 0.0000  -0.10
3 Mn 0.0000 0.0000 0.0000  2.00
4 C 0.5000 0.5000 0.5000  0.35
5 Y 0.0000 0.0000 0.5000  -0.21


The following is a DFT calculation (PBE-GGA) of a relaxed structure of Rb3Cd2CuF9.

Results
- Final energy: -4.026 eV/atom
- Density: 4.73 g/cm3
- Total magnetization: 1.000 μB/cell

Lattice parameters (Å, degrees): 6.1814 6.1814 7.5925 90.00 90.00 120.00
Each line ends with the local moment (μB).
Sites, in units of the cell vectors:
1 F 0.5000 0.0000 0.0000  0.00
2 Cd 0.3333 0.6667 0.1788  0.01
3 F 0.5000 0.5000 0.0000  0.00
4 F 0.3169 0.1585 0.6550  0.04
5 Rb 0.0000 0.0000 0.0000  0.00
6 F 0.6831 0.8415 0.3450  0.04
7 F 0.1585 0.8415 0.3450  0.04
8 F 0.8415 0.1585 0.6550  0.04
9 Cd 0.6667 0.3333 0.8212  0.01
10 Rb 0.6667 0.3333 0.3339  0.00
11 Rb 0.3333 0.6667 0.6661  0.00
12 F 0.0000 0.5000 0.0000  0.00
13 F 0.8415 0.6831 0.6550  0.04
14 F 0.1585 0.3169 0.3450  0.04
15 Cu 0.0000 0.0000 0.5000  0.72


The following is a DFT calculation (PBE-GGA) of a relaxed structure of BaNbIr2.

Results
- Energy relative to the lowest polymorph listed for this composition: 214 meV/atom
- Energy of formation: 0.56 eV/atom
- Density: 12.45 g/cm3
- Total magnetization: 0.000 μB/cell

Lattice parameters (Å, degrees): 4.8768 4.8768 4.8768 60.00 60.00 60.00
Sites, in units of the cell vectors:
1 Ba 0.5000 0.5000 0.5000
2 Nb 0.0000 0.0000 0.0000
3 Ir 0.7500 0.7500 0.7500
4 Ir 0.2500 0.2500 0.2500


The following is a DFT calculation (PBE-GGA) of a relaxed structure of AcCe2Dy.

Results
- Energy relative to the lowest polymorph listed for this composition: 0 meV/atom
- Energy of formation: 0.15 eV/atom
- Density: 8.36 g/cm3
- Total magnetization: 1.976 μB/cell

Lattice parameters (Å, degrees): 5.2154 5.0515 5.0515 90.00 90.00 90.00
Each line ends with the local moment (μB).
Sites, in units of the cell vectors:
1 Dy 0.5000 0.5000 0.5000  0.03
2 Ce 0.0000 0.5000 0.0000  0.75
3 Ce 0.0000 0.0000 0.5000  0.75
4 Ac 0.5000 0.0000 0.0000  0.04


For each record above, in turn, the calculated Fermi-level density of states values are 3.1 4.2 4.3 10.5 states/eV/f.u..